Compound: W3AuF
Source: Alexandria
Functional: GGA+U
Structure: relaxed

Geometry as POSCAR:
```
W3AuF
1.0
4.297 0.000 0.000
0.000 4.297 0.000
0.000 0.000 4.297
Au W F
1 3 1
Direct
0.500 0.500 0.500
0.000 0.500 0.000
0.000 0.000 0.500
0.500 0.000 0.000
0.000 0.000 0.000
```

## Properties
Its density is 16.06 g cm⁻³. The crystal system is cubic. Its density of states at the Fermi level is 3.01 states/eV/cell. The final energy comes out at -20.501 eV/cell.